# MnHg2Sb

An optimized crystal structure of MnHg2Sb (PBEsol, Alexandria via LeMat-Bulk).

## Properties
The uncorrected energy is -3.64 eV per atom.

Unit cell a=3.3293 b=3.3293 c=26.3850 alpha=90.00 beta=90.00 gamma=120.00
Space group R3m (No. 160, hexagonal axes)
Inequivalent atoms, fractional coordinates:
Mn 0.0000 0.0000 0.0000 [3 per cell]
Hg 0.0000 0.0000 0.2590 [3 per cell]
Hg 0.0000 0.0000 0.5033 [3 per cell]
Sb 0.0000 0.0000 0.7369 [3 per cell]

=====

# LiGa3Cl

An optimized crystal structure of LiGa3Cl (PBEsol, Alexandria via LeMat-Bulk).

## Properties
The uncorrected energy is -2.54 eV per atom.

Unit cell a=5.225 b=5.225 c=5.225 alpha=90.00 beta=90.00 gamma=90.00
Space group Pm-3m (No. 221)
Inequivalent atoms, fractional coordinates:
Li 0.000 0.000 0.000 [1 per cell]
Ga 0.000 0.500 0.500 [3 per cell]
Cl 0.500 0.500 0.500 [1 per cell]

=====

# CrAs2P

An optimized crystal structure of CrAs2P (PBEsol, Alexandria via LeMat-Bulk).

## Properties
The energy relative to the elements is 1.589 eV per formula unit.

Unit cell a=3.159 b=4.488 c=4.505 alpha=90.00 beta=90.00 gamma=90.00
Space group Pmmm (No. 47)
Inequivalent atoms, fractional coordinates:
Cr 0.000 0.000 0.000 [1 per cell]
As 0.000 0.500 0.500 [1 per cell]
As 0.500 0.500 0.000 [1 per cell]
P 0.500 0.000 0.500 [1 per cell]

=====

# IrRu2Pb

An optimized crystal structure of IrRu2Pb (PBEsol, Alexandria via LeMat-Bulk).

## Properties
The energy relative to the elements is 2.851 eV per formula unit.

Unit cell a=2.844 b=4.810 c=9.383 alpha=90.00 beta=90.00 gamma=90.00
Space group Immm (No. 71)
Inequivalent atoms, fractional coordinates:
Ir 0.000 0.000 0.000 [2 per cell]
Ru 0.000 0.500 0.263 [4 per cell]
Pb 0.000 0.000 0.500 [2 per cell]

=====

# RbSrBe2

An optimized crystal structure of RbSrBe2 (PBEsol, Alexandria via LeMat-Bulk).

## Properties
The energy relative to the elements is 4.845 eV per formula unit.

Unit cell a=8.646 b=8.646 c=6.783 alpha=90.00 beta=90.00 gamma=90.00
Space group I-42d (No. 122)
Inequivalent atoms, fractional coordinates:
Rb 0.000 0.000 0.000 [4 per cell]
Sr 0.000 0.000 0.500 [4 per cell]
Be 0.233 0.250 0.625 [8 per cell]

=====

# La2YAg

An optimized crystal structure of La2YAg (PBEsol, Alexandria via LeMat-Bulk).

## Properties
The energy relative to the elements is 0.124 eV per formula unit.

Unit cell a=4.703 b=4.703 c=10.142 alpha=90.00 beta=90.00 gamma=90.00
Space group I-4m2 (No. 119)
Inequivalent atoms, fractional coordinates:
La 0.000 0.000 0.000 [2 per cell]
La 0.000 0.500 0.250 [2 per cell]
Y 0.000 0.000 0.500 [2 per cell]
Ag 0.000 0.500 0.750 [2 per cell]

=====

# TeWSe

An optimized crystal structure of TeWSe (PBEsol, Alexandria via LeMat-Bulk).

## Properties
The uncorrected energy is -6.63 eV per atom.

Unit cell a=3.302 b=5.210 c=14.995 alpha=90.00 beta=90.00 gamma=90.00
Space group Fmm2 (No. 42)
Inequivalent atoms, fractional coordinates:
Te 0.000 0.000 0.000 [4 per cell]
W 0.000 0.000 0.652 [4 per cell]
Se 0.000 0.000 0.276 [4 per cell]

=====

# LiTlNi4

An optimized crystal structure of LiTlNi4 (PBEsol, Alexandria via LeMat-Bulk).

## Properties
The energy relative to the elements is 0.105 eV per formula unit.

Unit cell a=6.735 b=6.735 c=6.735 alpha=90.00 beta=90.00 gamma=90.00
Space group F-43m (No. 216)
Inequivalent atoms, fractional coordinates:
Li 0.000 0.000 0.000 [4 per cell]
Tl 0.250 0.250 0.250 [4 per cell]
Ni 0.125 0.125 0.625 [16 per cell]

=====

# LiH2Pd2

An optimized crystal structure of LiH2Pd2 (PBEsol, Alexandria via LeMat-Bulk).

## Properties
The uncorrected energy is -4.33 eV per atom.

Unit cell a=3.589 b=3.589 c=8.010 alpha=90.00 beta=90.00 gamma=90.00
Space group I4/mmm (No. 139)
Inequivalent atoms, fractional coordinates:
Li 0.000 0.000 0.000 [2 per cell]
H 0.000 0.500 0.250 [4 per cell]
Pd 0.000 0.000 0.320 [4 per cell]

=====

# InHgPb2

An optimized crystal structure of InHgPb2 (PBEsol, Alexandria via LeMat-Bulk).

## Properties
The energy relative to the elements is 0.002 eV per formula unit.

Unit cell a=3.591 b=4.176 c=7.120 alpha=90.00 beta=90.00 gamma=90.00
Space group Pmm2 (No. 25)
Inequivalent atoms, fractional coordinates:
In 0.000 0.000 0.000 [1 per cell]
Hg 0.500 0.500 0.783 [1 per cell]
Pb 0.000 0.000 0.537 [1 per cell]
Pb 0.500 0.500 0.257 [1 per cell]

=====

# KB5H8O12

An optimized crystal structure of KB5H8O12 (PBEsol, Alexandria via LeMat-Bulk).

## Properties
The uncorrected energy is -6.66 eV per atom.

Unit cell a=10.937 b=10.832 c=9.051 alpha=90.00 beta=90.00 gamma=90.00
Space group Aea2 (No. 41)
Inequivalent atoms, fractional coordinates:
K 0.000 0.000 0.000 [4 per cell]
B 0.000 0.000 0.410 [4 per cell]
B 0.193 0.095 0.315 [8 per cell]
B 0.207 0.442 0.005 [8 per cell]
H 0.013 0.239 0.271 [8 per cell]
H 0.023 0.358 0.161 [8 per cell]
H 0.152 0.172 0.738 [8 per cell]
H 0.247 0.305 0.649 [8 per cell]
O 0.016 0.174 0.754 [8 per cell]
O 0.068 0.088 0.314 [8 per cell]
O 0.083 0.428 0.006 [8 per cell]
O 0.215 0.379 0.594 [8 per cell]
O 0.237 0.025 0.910 [8 per cell]
O 0.247 0.175 0.724 [8 per cell]

=====

# Zr5Sb3C

An optimized crystal structure of Zr5Sb3C (PBEsol, Alexandria via LeMat-Bulk).

## Properties
The uncorrected energy is -8.51 eV per atom.

Unit cell a=8.3316 b=8.3316 c=5.8014 alpha=90.00 beta=90.00 gamma=120.00
Space group P6_3/mcm (No. 193)
Inequivalent atoms, fractional coordinates:
Zr 0.0000 0.2211 0.2500 [6 per cell]
Zr 0.3333 0.6667 0.0000 [4 per cell]
Sb 0.0000 0.4040 0.7500 [6 per cell]
C 0.0000 0.0000 0.0000 [2 per cell]

=====

# Hg2IrPt

An optimized crystal structure of Hg2IrPt (PBEsol, Alexandria via LeMat-Bulk).

## Properties
The energy relative to the elements is 1.359 eV per formula unit.

Unit cell a=5.738 b=9.535 c=2.868 alpha=90.00 beta=119.27 gamma=90.00
Space group C2/m (No. 12)
Inequivalent atoms, fractional coordinates:
Hg 0.250 0.250 0.000 [4 per cell]
Ir 0.000 0.000 0.500 [2 per cell]
Pt 0.000 0.500 0.500 [2 per cell]

=====

# FeS

An optimized crystal structure of FeS (PBEsol, Alexandria via LeMat-Bulk).

## Properties
The uncorrected energy is -7.27 eV per atom.

Unit cell a=3.536 b=3.536 c=5.008 alpha=90.00 beta=90.00 gamma=90.00
Space group P4/nmm (No. 129, origin choice 2)
Inequivalent atoms, fractional coordinates:
Fe 0.250 0.750 0.000 [2 per cell]
S 0.250 0.250 0.241 [2 per cell]

=====

# MgBPd3

An optimized crystal structure of MgBPd3 (PBEsol, Alexandria via LeMat-Bulk).

## Properties
The energy relative to the elements is -2.412 eV per formula unit.

Unit cell a=4.134 b=4.134 c=4.134 alpha=90.00 beta=90.00 gamma=90.00
Space group Pm-3m (No. 221)
Inequivalent atoms, fractional coordinates:
Mg 0.000 0.000 0.000 [1 per cell]
B 0.500 0.500 0.500 [1 per cell]
Pd 0.000 0.500 0.500 [3 per cell]

=====

# RbPH2O4

An optimized crystal structure of RbPH2O4 (PBEsol, Alexandria via LeMat-Bulk).

## Properties
The uncorrected energy is -6.16 eV per atom.

Unit cell a=8.318 b=6.194 c=9.494 alpha=90.00 beta=119.89 gamma=90.00
Space group P2_1/c (No. 14)
Inequivalent atoms, fractional coordinates:
Rb 0.234 0.236 0.449 [4 per cell]
P 0.263 0.707 0.238 [4 per cell]
H 0.150 0.738 0.458 [4 per cell]
H 0.465 0.522 0.761 [4 per cell]
O 0.121 0.713 0.051 [4 per cell]
O 0.147 0.671 0.319 [4 per cell]
O 0.361 0.567 0.793 [4 per cell]
O 0.406 0.526 0.280 [4 per cell]

=====

# ScHgSb

An optimized crystal structure of ScHgSb (PBEsol, Alexandria via LeMat-Bulk).

## Properties
The uncorrected energy is -4.32 eV per atom.

Unit cell a=3.918 b=3.918 c=9.040 alpha=90.00 beta=90.00 gamma=90.00
Space group I4mm (No. 107)
Inequivalent atoms, fractional coordinates:
Sc 0.000 0.000 0.000 [2 per cell]
Hg 0.000 0.000 0.680 [2 per cell]
Sb 0.000 0.000 0.360 [2 per cell]

=====

# CrP2ICl

An optimized crystal structure of CrP2ICl (PBEsol, Alexandria via LeMat-Bulk).

## Properties
The uncorrected energy is -3.68 eV per atom.

Unit cell a=5.090 b=5.090 c=5.136 alpha=90.00 beta=90.00 gamma=90.00
Space group P4/mmm (No. 123)
Inequivalent atoms, fractional coordinates:
Cr 0.000 0.000 0.000 [1 per cell]
P 0.000 0.500 0.500 [2 per cell]
I 0.500 0.500 0.500 [1 per cell]
Cl 0.500 0.500 0.000 [1 per cell]

=====

# ZrAg2Au

An optimized crystal structure of ZrAg2Au (PBEsol, Alexandria via LeMat-Bulk).

## Properties
The energy relative to the elements is -0.984 eV per formula unit.

Unit cell a=4.381 b=4.381 c=7.384 alpha=90.00 beta=90.00 gamma=90.00
Space group I-4m2 (No. 119)
Inequivalent atoms, fractional coordinates:
Zr 0.000 0.000 0.000 [2 per cell]
Ag 0.000 0.000 0.500 [2 per cell]
Ag 0.000 0.500 0.250 [2 per cell]
Au 0.000 0.500 0.750 [2 per cell]

=====

# MnSiSe3

An optimized crystal structure of MnSiSe3 (PBEsol, Alexandria via LeMat-Bulk).

## Properties
The uncorrected energy is -5.00 eV per atom.

Unit cell a=4.763 b=4.763 c=4.763 alpha=90.00 beta=90.00 gamma=90.00
Space group Pm-3m (No. 221)
Inequivalent atoms, fractional coordinates:
Mn 0.000 0.000 0.000 [1 per cell]
Si 0.500 0.500 0.500 [1 per cell]
Se 0.000 0.500 0.500 [3 per cell]

=====

no.,Fermi-level density of states (states/eV/f.u.),size of the total moment (μB/atom)
1,2.9,0.790
2,1.9,0.000
3,2.3,0.861
4,5.3,0.000
5,3.2,0.000
6,5.9,0.000
7,2.4,0.000
8,7.5,0.001
9,1.0,0.000
10,1.9,0.000
11,0.0,0.000
12,5.5,0.000
13,2.4,0.000
14,1.1,0.000
15,3.2,0.000
16,0.0,0.000
17,2.4,0.000
18,3.9,0.752
19,2.5,0.000
20,2.7,0.984